{
  "formula": "TlTe2Au",
  "functional": "PBE",
  "state": "relaxed",
  "lattice_angstrom": [[4.0844, 0.0000, 0.0000], [0.0000, 4.4218, 0.0000], [0.0000, 0.0000, 6.8129]],
  "species": ["Au", "Te", "Te", "Tl"],
  "fractional_positions": [[0.0000, 0.5000, 0.5000], [0.0000, 0.0000, 0.0000], [0.5000, 0.5000, 0.0000], [0.5000, 0.0000, 0.5000]],
  "vol_a3_per_atom": 30.8,
  "e_form_raw_kj_per_mol_atoms": 14,
  "density_kg_m3": 8860,
  "crystal_system": "orthorhombic",
  "spacegroup": "Pmmm (47)",
  "m_tot_mub_per_fu": 0.000
}

***

{
  "formula": "KTh2Tl3Se6",
  "functional": "PBE",
  "state": "relaxed",
  "lattice_angstrom": [[4.3944, 0.0000, 0.0000], [0.0000, 9.3191, 0.1972], [-2.1972, -2.8318, 9.6060]],
  "species": ["Tl", "Tl", "Se", "Se", "Se", "Se", "Se", "K", "Tl", "Th", "Th", "Se"],
  "fractional_positions": [[0.8442, 0.1708, 0.6884], [0.1558, 0.8292, 0.3116], [0.3228, 0.8745, 0.6456], [0.6770, 0.5535, 0.3540], [0.3230, 0.4465, 0.6460], [0.6772, 0.1255, 0.3544], [0.9757, 0.7362, 0.9513], [0.5000, 0.0000, 0.0000], [0.5000, 0.5000, 0.0000], [0.1663, 0.3283, 0.3327], [0.8337, 0.6717, 0.6673], [0.0243, 0.2638, 0.0487]],
  "vol_a3_per_atom": 33.0,
  "e_form_raw_kj_per_mol_atoms": -116,
  "density_kg_m3": 6670,
  "crystal_system": "monoclinic",
  "spacegroup": "C2/m (12)",
  "m_tot_mub_per_fu": 0.000
}

***

{
  "formula": "LaNd5SmHo2",
  "functional": "PBE",
  "state": "relaxed",
  "lattice_angstrom": [[-0.0452, -5.6109, -1.2339], [5.7011, 4.5846, -7.6810], [8.9096, -1.3489, 5.8078]],
  "species": ["Nd", "Ho", "Nd", "Ho", "Nd", "Nd", "Ho", "Nd", "Sm", "La", "La", "Nd", "Ho", "Nd", "Nd", "Nd", "Sm", "Nd"],
  "fractional_positions": [[0.7192, 0.4385, 0.8125], [0.1166, 0.2331, 0.3224], [0.3882, 0.7765, 0.0261], [0.8873, 0.7747, 0.2334], [0.9834, 0.9668, 0.5250], [0.7045, 0.4090, 0.2049], [0.1127, 0.2253, 0.7334], [0.2955, 0.5910, 0.7049], [0.2000, 0.4000, 0.0109], [0.5838, 0.1676, 0.9486], [0.4162, 0.8324, 0.4486], [0.5222, 0.0443, 0.2402], [0.8834, 0.7669, 0.8224], [0.0166, 0.0332, 0.0250], [0.2808, 0.5615, 0.3125], [0.6118, 0.2235, 0.5261], [0.8000, 0.6000, 0.5109], [0.4778, 0.9557, 0.7402]],
  "vol_a3_per_atom": 34.9,
  "density_kg_m3": 7078,
  "crystal_system": "orthorhombic",
  "spacegroup": "Cmc2_1 (36)",
  "m_tot_mub_per_fu": 0.000,
  "formation_enthalpy_0k_ev_per_atom": 0.15
}

***

{
  "formula": "Dy5PbSe5",
  "functional": "PBE",
  "state": "relaxed",
  "lattice_angstrom": [[5.4507, 0.0000, -2.1957], [-0.7127, 8.0829, -1.7692], [-0.2925, -0.5663, 7.1372]],
  "species": ["Dy", "Se", "Pb", "Se", "Se", "Dy", "Dy", "Se", "Dy", "Se", "Dy"],
  "fractional_positions": [[0.1661, 0.8213, 0.3322], [0.6652, 0.3355, 0.3303], [0.0000, 0.0000, 0.0000], [0.3292, 0.1618, 0.6584], [0.6708, 0.8382, 0.3416], [0.5000, 0.0000, 0.0000], [0.1685, 0.3431, 0.3371], [0.3348, 0.6645, 0.6697], [0.8339, 0.1787, 0.6678], [0.0000, 0.5000, 0.0000], [0.8315, 0.6569, 0.6629]],
  "vol_a3_per_atom": 27.5,
  "e_form_raw_kj_per_mol_atoms": -153,
  "density_kg_m3": 7754,
  "crystal_system": "monoclinic",
  "spacegroup": "C2/m (12)",
  "m_tot_mub_per_fu": 0.000
}